VASP calculation (PBE-GGA) on GaSiAg after structural relaxation.

Lattice parameters (Å, degrees): 6.4093 2.8879 11.9436 90.00 92.36 90.00
With the nearest neighbours (Å) after each atom.
Space group Cm (No. 8)
Asymmetric unit:
Ga  0.0000  0.0000  0.0000 x2  1 Si 2.46, 2 Ag 2.71
Ga  0.1505  0.5000  0.4857 x2  3 Si 2.69-2.74, 3 Ag 2.74-2.89, 2 Ga 2.89
Si  0.0450  0.0000  0.2058 x2  3 Si 2.34-2.43, 1 Ga 2.46
Si  0.3445  0.0000  0.3245 x2  3 Si 2.34-2.43
Ag  0.2954  0.0000  0.8380 x2  3 Ga 2.71-2.76, 5 Ag 2.89-2.92
Ag  0.4839  0.5000  0.6556 x2  3 Ga 2.74-2.89, 5 Ag 2.89-2.92

D(E_F) = 0.360 states/eV/atom
spin magnetization = 0.00 μB/atom
calculated total energy = -3.585 eV per atom
energy relative to the elements, uncorrected = 0.182 eV per atom